Record 1
Here is a relaxed BrF3 crystal from the Alexandria database. Energies are from GGA-PBE.

CIF file:
```
data_BrF3
_chemical_formula_sum 'Br1 F3'
_cell_length_a 4.053
_cell_length_b 4.053
_cell_length_c 4.053
_cell_angle_alpha 60.00
_cell_angle_beta 60.00
_cell_angle_gamma 60.00
_space_group_name_H-M_alt 'P 1'
_space_group_IT_number 1
loop_
_space_group_symop_operation_xyz
'x,y,z'
loop_
_atom_site_label
_atom_site_type_symbol
_atom_site_fract_x
_atom_site_fract_y
_atom_site_fract_z
_atom_site_occupancy
F1 F 0.750 0.750 0.750 1
F2 F 0.250 0.250 0.250 1
F3 F 0.000 0.000 0.000 1
Br1 Br 0.500 0.500 0.500 1
```

Formation energy from raw total energies: 0.159 eV per atom
Magnetic moment: 1.49 μB per formula unit
Space group: Fm-3m (225)
VASP energy: -6.65 eV for the cell shown


Record 2
Here is a relaxed BrF3 crystal from the Alexandria database. Energies are from GGA-PBE.

CIF file:
```
data_BrF3
_chemical_formula_sum 'Br1 F3'
_cell_length_a 7.373
_cell_length_b 7.373
_cell_length_c 7.373
_cell_angle_alpha 25.29
_cell_angle_beta 25.29
_cell_angle_gamma 25.29
_space_group_name_H-M_alt 'P 1'
_space_group_IT_number 1
loop_
_space_group_symop_operation_xyz
'x,y,z'
loop_
_atom_site_label
_atom_site_type_symbol
_atom_site_fract_x
_atom_site_fract_y
_atom_site_fract_z
_atom_site_occupancy
F1 F 0.000 0.000 0.000 1
F2 F 0.080 0.080 0.080 1
F3 F 0.920 0.920 0.920 1
Br1 Br 0.500 0.500 0.500 1
```

Formation energy from raw total energies: 0.168 eV per atom
Magnetic moment: 1.58 μB per formula unit
Space group: R-3m (166)
VASP energy: -6.62 eV for the cell shown


Record 3
Here is a relaxed Br3F crystal from the Alexandria database. Energies are from GGA-PBE.

CIF file:
```
data_Br3F
_chemical_formula_sum 'Br3 F1'
_cell_length_a 10.823
_cell_length_b 10.823
_cell_length_c 10.823
_cell_angle_alpha 17.42
_cell_angle_beta 17.42
_cell_angle_gamma 17.42
_space_group_name_H-M_alt 'P 1'
_space_group_IT_number 1
loop_
_space_group_symop_operation_xyz
'x,y,z'
loop_
_atom_site_label
_atom_site_type_symbol
_atom_site_fract_x
_atom_site_fract_y
_atom_site_fract_z
_atom_site_occupancy
Br1 Br 0.066 0.066 0.066 1
Br2 Br 0.500 0.500 0.500 1
Br3 Br 0.934 0.934 0.934 1
F1 F 0.000 0.000 0.000 1
```

Formation energy from raw total energies: 0.249 eV per atom
Magnetic moment: 0.00 μB per formula unit
Space group: R-3m (166)
VASP energy: -5.89 eV for the cell shown